Entry 1:
Cs2ZrF6, relaxed, DFT PBE; formation energy (no corrections) = -3.401 eV per atom; space group = P-3m1 (164); density of states at the Fermi level = 0.0 states/eV/f.u.; mass density = 4.15 g/cm³; size of the total moment = 0.016 μB/atom
1.0
6.5075 0.0000 0.0000
-3.2537 5.6356 0.0000
0.0000 0.0000 5.1396
Cs Zr F
2 1 6
direct
0.3333 0.6667 0.1914
0.6667 0.3333 0.8086
0.0000 0.0000 0.5000
0.1515 0.3030 0.7201
0.1515 0.8485 0.7201
0.3030 0.1515 0.2799
0.6970 0.8485 0.7201
0.8485 0.1515 0.2799
0.8485 0.6970 0.2799



Entry 2:
LiHoZrSn, relaxed, DFT PBE; space group = F-43m (216); density of states at the Fermi level = 3.6 states/eV/f.u.; mass density = 7.03 g/cm³; size of the total moment = 0.000 μB/atom; formation enthalpy at 0 K = -269 meV per atom
1.0
0.0000 3.5596 3.5596
3.5596 0.0000 3.5596
3.5596 3.5596 0.0000
Li Ho Zr Sn
1 1 1 1
direct
0.0000 0.0000 0.0000
0.7500 0.7500 0.7500
0.2500 0.2500 0.2500
0.5000 0.5000 0.5000



Entry 3:
Mg2SnGe, relaxed, DFT PBE; space group = P4/mmm (123); density of states at the Fermi level = 1.7 states/eV/f.u.; mass density = 4.59 g/cm³; size of the total moment = 0.000 μB/atom; formation enthalpy at 0 K = -109 meV per atom
1.0
3.2847 0.0000 0.0000
0.0000 3.2847 0.0000
0.0000 0.0000 8.0480
Mg Sn Ge
2 1 1
direct
0.0000 0.0000 0.2244
0.0000 0.0000 0.7756
0.5000 0.5000 0.5000
0.5000 0.5000 0.0000



Entry 4:
Fe2CuSiPt, relaxed, DFT PBE; formation energy (no corrections) = 1.071 eV per atom; space group = P4/mmm (123); relative energy among the computed polymorphs = 442 meV per atom; density of states at the Fermi level = 4.8 states/eV/f.u.; mass density = 8.22 g/cm³; size of the total moment = 1.242 μB/atom
1.0
4.2095 0.0000 0.0000
0.0000 4.2095 0.0000
0.0000 0.0000 4.5410
Fe Cu Si Pt
2 1 1 1
direct
0.0000 0.5000 0.0000
0.5000 0.0000 0.0000
0.0000 0.0000 0.0000
0.5000 0.5000 0.5000
0.0000 0.0000 0.5000



Entry 5:
LiCeIr, relaxed, DFT PBE; space group = I4mm (107); relative energy among the computed polymorphs = 295 meV per atom; density of states at the Fermi level = 2.9 states/eV/f.u.; mass density = 9.14 g/cm³; size of the total moment = 0.000 μB/atom; formation enthalpy at 0 K = -286 meV per atom
1.0
-1.8544 1.8544 4.4799
1.8544 -1.8544 4.4799
1.8544 1.8544 -4.4799
Li Ce Ir
1 1 1
direct
0.0000 0.0000 0.0000
0.3064 0.3064 0.0000
0.6970 0.6970 0.0000



Entry 6:
BC2, relaxed, DFT PBE; space group = Pm (6); relative energy among the computed polymorphs = 87 meV per atom; density of states at the Fermi level = 0.5 states/eV/f.u.; mass density = 3.03 g/cm³; size of the total moment = 0.000 μB/atom; formation enthalpy at 0 K = 326 meV per atom
1.0
4.7030 0.0000 0.0000
0.0000 2.5075 0.0000
-0.5309 0.0000 6.4736
B C
4 8
direct
0.0000 0.0000 0.0000
0.1452 0.5000 0.4231
0.4681 0.5000 0.7669
0.8001 0.5000 0.1169
0.1233 0.5000 0.6839
0.3280 0.0000 0.1033
0.3276 0.0000 0.3389
0.4593 0.5000 0.0194
0.6421 0.0000 0.4363
0.6551 0.0000 0.6734
0.7928 0.5000 0.3619
0.9722 0.0000 0.7498



Entry 7:
MgTaHg2, relaxed, DFT PBE; space group = I-4m2 (119); density of states at the Fermi level = 5.0 states/eV/f.u.; mass density = 12.37 g/cm³; size of the total moment = 0.075 μB/atom; formation enthalpy at 0 K = 433 meV per atom
1.0
-2.0580 2.0580 4.8054
2.0580 -2.0580 4.8054
2.0580 2.0580 -4.8054
Mg Ta Hg
1 1 2
direct
0.0000 0.0000 0.0000
0.2500 0.7500 0.5000
0.5000 0.5000 0.0000
0.7500 0.2500 0.5000



Entry 8:
TcCl, relaxed, DFT PBE; formation energy (no corrections) = 0.895 eV per atom; space group = P6_3/mmc (194); relative energy among the computed polymorphs = 1022 meV per atom; density of states at the Fermi level = 2.7 states/eV/f.u.; mass density = 6.04 g/cm³; size of the total moment = 0.257 μB/atom
1.0
4.1993 0.0000 0.0000
-2.0997 3.6367 0.0000
0.0000 0.0000 4.8080
Tc Cl
2 2
direct
0.0000 0.0000 0.0000
0.0000 0.0000 0.5000
0.3333 0.6667 0.2500
0.6667 0.3333 0.7500



Entry 9:
Pu3Ge4Rh7, relaxed, DFT PBE; space group = C2/m (12); density of states at the Fermi level = 44.3 states/eV/f.u.; mass density = 11.93 g/cm³; size of the total moment = 0.264 μB/atom; formation enthalpy at 0 K = -642 meV per atom
1.0
7.7518 -2.0303 0.0000
7.7518 2.0303 0.0000
-5.5383 0.0000 7.7085
Pu Ge Rh
3 4 7
direct
0.0000 0.0000 0.0000
0.3275 0.3275 0.3295
0.6725 0.6725 0.6705
0.1116 0.1116 0.8382
0.3377 0.3377 0.7275
0.6623 0.6623 0.2725
0.8884 0.8884 0.1618
0.0000 0.0000 0.5000
0.1630 0.1630 0.4279
0.3051 0.3051 0.9571
0.4932 0.4932 0.7124
0.5068 0.5068 0.2876
0.6949 0.6949 0.0429
0.8370 0.8370 0.5721



Entry 10:
RbScMn2Au, relaxed, DFT PBE; space group = P4/mmm (123); density of states at the Fermi level = 4.3 states/eV/f.u.; mass density = 4.84 g/cm³; size of the total moment = 1.332 μB/atom; formation enthalpy at 0 K = 1278 meV per atom
1.0
4.9081 0.0000 0.0000
0.0000 4.9081 0.0000
0.0000 0.0000 6.2250
Rb Sc Mn Au
1 1 2 1
direct
0.0000 0.0000 0.0000
0.0000 0.0000 0.5000
0.0000 0.5000 0.5000
0.5000 0.0000 0.5000
0.5000 0.5000 0.0000



Entry 11:
KZrOs, relaxed, DFT PBE; space group = I4mm (107); relative energy among the computed polymorphs = 0 meV per atom; density of states at the Fermi level = 1.1 states/eV/f.u.; mass density = 6.43 g/cm³; size of the total moment = 0.000 μB/atom; formation enthalpy at 0 K = 432 meV per atom
1.0
-1.6710 1.6710 7.4112
1.6710 -1.6710 7.4112
1.6710 1.6710 -7.4112
K Zr Os
1 1 1
direct
0.0000 0.0000 0.0000
0.2534 0.2534 0.0000
0.6700 0.6700 0.0000



Entry 12:
MnCdCu2Ir, relaxed, DFT PBE; space group = P4/mmm (123); density of states at the Fermi level = 4.4 states/eV/f.u.; mass density = 7.71 g/cm³; size of the total moment = 0.825 μB/atom; formation enthalpy at 0 K = 844 meV per atom
1.0
4.7358 0.0000 0.0000
0.0000 4.7358 0.0000
0.0000 0.0000 4.6726
Mn Cd Cu Ir
1 1 2 1
direct
0.0000 0.0000 0.0000
0.5000 0.5000 0.0000
0.0000 0.5000 0.5000
0.5000 0.0000 0.5000
0.0000 0.0000 0.5000



Entry 13:
ZnSnMo2, relaxed, DFT PBE; space group = Fm-3m (225); relative energy among the computed polymorphs = 0 meV per atom; density of states at the Fermi level = 4.5 states/eV/f.u.; mass density = 9.38 g/cm³; size of the total moment = 0.000 μB/atom; formation enthalpy at 0 K = 419 meV per atom
1.0
0.0000 3.2166 3.2166
3.2166 0.0000 3.2166
3.2166 3.2166 0.0000
Zn Sn Mo
1 1 2
direct
0.0000 0.0000 0.0000
0.5000 0.5000 0.5000
0.2500 0.2500 0.2500
0.7500 0.7500 0.7500



Entry 14:
SrRuO2, relaxed, DFT PBE; formation energy (no corrections) = -1.206 eV per atom; space group = I-42d (122); relative energy among the computed polymorphs = 109 meV per atom; density of states at the Fermi level = 2.6 states/eV/f.u.; mass density = 5.62 g/cm³; size of the total moment = 0.000 μB/atom
1.0
-2.3634 2.3634 5.8412
2.3634 -2.3634 5.8412
2.3634 2.3634 -5.8412
Sr Ru O
2 2 4
direct
0.0000 0.0000 0.0000
0.7500 0.2500 0.5000
0.2500 0.7500 0.5000
0.5000 0.5000 0.0000
0.2139 0.6250 0.0889
0.3750 0.4639 0.5889
0.5361 0.1250 0.9111
0.8750 0.7861 0.4111



Entry 15:
RbTi2AsW, relaxed, DFT PBE; space group = P4/mmm (123); density of states at the Fermi level = 6.3 states/eV/f.u.; mass density = 5.28 g/cm³; size of the total moment = 0.273 μB/atom; formation enthalpy at 0 K = 1470 meV per atom
1.0
4.8567 0.0000 0.0000
0.0000 4.8567 0.0000
0.0000 0.0000 5.8652
Rb Ti As W
1 2 1 1
direct
0.0000 0.0000 0.0000
0.0000 0.5000 0.5000
0.5000 0.0000 0.5000
0.0000 0.0000 0.5000
0.5000 0.5000 0.0000



Entry 16:
Ni2Os2Rh7, relaxed, DFT PBE; space group = P-1 (2); density of states at the Fermi level = 16.3 states/eV/f.u.; mass density = 13.12 g/cm³; size of the total moment = 0.000 μB/atom; formation enthalpy at 0 K = 166 meV per atom
1.0
4.6906 0.0000 0.0000
2.2280 5.9051 0.0000
2.1267 2.1046 5.5674
Ni Os Rh
2 2 7
direct
0.2139 0.4135 0.2975
0.7861 0.5865 0.7025
0.4992 0.7788 0.0451
0.5008 0.2212 0.9549
0.1074 0.1481 0.7678
0.1556 0.6748 0.8614
0.2810 0.9666 0.3916
0.5000 0.5000 0.5000
0.7190 0.0334 0.6084
0.8444 0.3252 0.1386
0.8926 0.8519 0.2322



Entry 17:
BeFe2Co, relaxed, DFT PBE; space group = F-43m (216); density of states at the Fermi level = 3.8 states/eV/f.u.; mass density = 7.22 g/cm³; size of the total moment = 1.349 μB/atom; formation enthalpy at 0 K = -70 meV per atom
1.0
0.0000 2.7444 2.7444
2.7444 0.0000 2.7444
2.7444 2.7444 0.0000
Be Fe Co
1 2 1
direct
0.0000 0.0000 0.0000
0.5000 0.5000 0.5000
0.7500 0.7500 0.7500
0.2500 0.2500 0.2500



Entry 18:
TlSi2Mo, relaxed, DFT PBE; formation energy (no corrections) = 0.549 eV per atom; space group = R3m (160); relative energy among the computed polymorphs = 396 meV per atom; density of states at the Fermi level = 3.3 states/eV/f.u.; mass density = 7.87 g/cm³; size of the total moment = 0.057 μB/atom
1.0
1.4925 0.8617 9.7536
-1.4925 0.8617 9.7536
0.0000 -1.7233 9.7536
Tl Si Mo
1 2 1
direct
0.0000 0.0000 0.0000
0.5132 0.5132 0.5132
0.7793 0.7793 0.7793
0.2457 0.2457 0.2457



Entry 19:
CsPIr3, relaxed, DFT PBE; space group = Pm-3m (221); relative energy among the computed polymorphs = 0 meV per atom; density of states at the Fermi level = 4.9 states/eV/f.u.; mass density = 12.34 g/cm³; size of the total moment = 0.000 μB/atom; formation enthalpy at 0 K = 835 meV per atom
1.0
4.6362 0.0000 0.0000
0.0000 4.6362 0.0000
0.0000 0.0000 4.6362
Cs P Ir
1 1 3
direct
0.0000 0.0000 0.0000
0.5000 0.5000 0.5000
0.0000 0.5000 0.5000
0.5000 0.0000 0.5000
0.5000 0.5000 0.0000



Entry 20:
NiIrPd, relaxed, DFT PBE; space group = P3m1 (156); relative energy among the computed polymorphs = 65 meV per atom; density of states at the Fermi level = 5.0 states/eV/f.u.; mass density = 14.39 g/cm³; size of the total moment = 0.000 μB/atom; formation enthalpy at 0 K = 79 meV per atom
1.0
2.7178 0.0000 0.0000
-1.3589 2.3537 0.0000
0.0000 0.0000 6.4442
Ni Ir Pd
1 1 1
direct
0.0000 0.0000 0.0000
0.3333 0.6667 0.6897
0.6667 0.3333 0.3310



Entry 21:
Ti6Al2Cu, relaxed, DFT PBE; space group = Immm (71); density of states at the Fermi level = 13.1 states/eV/f.u.; mass density = 3.96 g/cm³; size of the total moment = 0.001 μB/atom; formation enthalpy at 0 K = 318 meV per atom
1.0
-2.1238 3.1065 6.4279
2.1238 -3.1065 6.4279
2.1238 3.1065 -6.4279
Ti Al Cu
6 2 1
direct
0.0790 0.3358 0.7432
0.2401 0.0000 0.2401
0.4075 0.6642 0.7432
0.5925 0.3358 0.2568
0.7599 0.0000 0.7599
0.9210 0.6642 0.2568
0.3355 0.8355 0.5000
0.6645 0.1645 0.5000
0.0000 0.5000 0.5000



Entry 22:
LiBe2TlBi, relaxed, DFT PBE; space group = P4/mmm (123); density of states at the Fermi level = 2.0 states/eV/f.u.; mass density = 5.54 g/cm³; size of the total moment = 0.000 μB/atom; formation enthalpy at 0 K = 782 meV per atom
1.0
4.5309 0.0000 0.0000
0.0000 4.5309 0.0000
0.0000 0.0000 6.3971
Li Be Tl Bi
1 2 1 1
direct
0.0000 0.0000 0.0000
0.0000 0.5000 0.5000
0.5000 0.0000 0.5000
0.5000 0.5000 0.5000
0.5000 0.5000 0.0000



Entry 23:
NaTl2Cd4, relaxed, DFT PBE; space group = Cmmm (65); density of states at the Fermi level = 2.5 states/eV/f.u.; mass density = 8.01 g/cm³; size of the total moment = 0.000 μB/atom; formation enthalpy at 0 K = -21 meV per atom
1.0
2.3737 -11.1344 0.0000
2.3737 11.1344 0.0000
0.0000 0.0000 3.4567
Na Tl Cd
1 2 4
direct
0.0000 0.0000 0.0000
0.4228 0.5772 0.5000
0.5772 0.4228 0.5000
0.1652 0.8348 0.5000
0.2920 0.7080 0.0000
0.7080 0.2920 0.0000
0.8348 0.1652 0.5000



Entry 24:
SrTlTeI2, relaxed, DFT PBE; formation energy (no corrections) = -0.743 eV per atom; space group = P4/mmm (123); relative energy among the computed polymorphs = 0 meV per atom; density of states at the Fermi level = 4.9 states/eV/f.u.; mass density = 4.28 g/cm³; size of the total moment = 0.205 μB/atom
1.0
6.3779 0.0000 0.0000
0.0000 6.3779 0.0000
0.0000 0.0000 6.4286
Sr Tl Te I
1 1 1 2
direct
0.0000 0.0000 0.0000
0.5000 0.5000 0.5000
0.0000 0.0000 0.5000
0.0000 0.5000 0.0000
0.5000 0.0000 0.0000



Entry 25:
Cs2AgSnHg6, relaxed, DFT PBE; space group = P-1 (2); density of states at the Fermi level = 3.5 states/eV/f.u.; mass density = 7.79 g/cm³; size of the total moment = 0.000 μB/atom; formation enthalpy at 0 K = -136 meV per atom
1.0
7.7384 0.0000 0.0000
3.8536 6.7279 0.0000
3.8471 2.2376 6.9401
Cs Ag Sn Hg
2 1 1 6
direct
0.2162 0.2132 0.3521
0.7837 0.7868 0.6479
0.0000 0.0000 0.0000
0.5000 0.5000 0.5000
0.2406 0.2511 0.8277
0.2469 0.6856 0.8237
0.3211 0.7507 0.1704
0.6789 0.2493 0.8296
0.7531 0.3144 0.1763
0.7594 0.7489 0.1723



Entry 26:
Sm2CdCu12Ni3, relaxed, DFT PBE; space group = R-3m (166); density of states at the Fermi level = 7.2 states/eV/f.u.; mass density = 8.48 g/cm³; size of the total moment = 0.000 μB/atom; formation enthalpy at 0 K = 85 meV per atom
1.0
4.2999 2.4826 4.1303
-4.2999 2.4826 4.1303
0.0000 -4.9651 4.1303
Sm Cd Cu Ni
2 1 12 3
direct
0.2427 0.2427 0.2427
0.7573 0.7573 0.7573
0.5000 0.5000 0.5000
0.0786 0.0786 0.6482
0.0786 0.6482 0.0786
0.2096 0.7040 0.7040
0.2960 0.2960 0.7904
0.2960 0.7904 0.2960
0.3518 0.9214 0.9214
0.6482 0.0786 0.0786
0.7040 0.2096 0.7040
0.7040 0.7040 0.2096
0.7904 0.2960 0.2960
0.9214 0.3518 0.9214
0.9214 0.9214 0.3518
0.0000 0.5000 0.5000
0.5000 0.0000 0.5000
0.5000 0.5000 0.0000



Entry 27:
TlCdIn, relaxed, DFT PBE; space group = P4/nmm (129); density of states at the Fermi level = 1.4 states/eV/f.u.; mass density = 8.46 g/cm³; size of the total moment = 0.000 μB/atom; formation enthalpy at 0 K = 50 meV per atom
1.0
4.6026 0.0000 0.0000
0.0000 4.6026 0.0000
0.0000 0.0000 7.9997
Tl Cd In
2 2 2
direct
0.2500 0.2500 0.1568
0.7500 0.7500 0.8432
0.2500 0.2500 0.7688
0.7500 0.7500 0.2312
0.2500 0.7500 0.5000
0.7500 0.2500 0.5000